Model a:
# AlCr2Sb2

A geometry-optimized AlCr2Sb2 structure (PBE, the Alexandria database).

Calculated values
M_tot: 8.7 μB/cell

a b c (Å): 6.9999 6.9999 3.7511
angles (deg): 90.00 90.00 90.00
Sites, in units of the cell vectors:
Al  0.0000  0.0000  0.0000
Al  0.5000  0.5000  0.0000
Cr  0.1434  0.3566  0.0000
Cr  0.3566  0.8566  0.0000
Cr  0.6434  0.1434  0.0000
Cr  0.8566  0.6434  0.0000
Sb  0.1603  0.6603  0.5000
Sb  0.3397  0.1603  0.5000
Sb  0.6603  0.8397  0.5000
Sb  0.8397  0.3397  0.5000

Model b:
# AlCr2Sb2

A geometry-optimized AlCr2Sb2 structure (PBE, the Alexandria database).

Calculated values
M_tot: 0.0 μB/cell

a b c (Å): 5.1415 5.1415 5.1415
angles (deg): 118.60 118.60 92.44
Sites, in units of the cell vectors:
Al  0.0000  0.0000  0.0000
Cr  0.3679  0.3679  0.0000
Cr  0.6321  0.6321  0.0000
Sb  0.2500  0.7500  0.5000
Sb  0.7500  0.2500  0.5000

Preferred: model a; penalty for the next structure: 202 meV per atom.

Model a:
# AlCrSb2Te

A geometry-optimized AlCrSb2Te structure (PBE, the Alexandria database).

Calculated values
M_tot: 0.2 μB/cell

a b c (Å): 5.1735 5.1735 5.2984
angles (deg): 90.00 90.00 90.00
Sites, in units of the cell vectors:
Al  0.0000  0.0000  0.0000
Cr  0.5000  0.5000  0.5000
Sb  0.0000  0.5000  0.0000
Sb  0.5000  0.0000  0.0000
Te  0.0000  0.0000  0.5000

Model b:
# AlCrSb2Te

A geometry-optimized AlCrSb2Te structure (PBE, the Alexandria database).

Calculated values
M_tot: 1.8 μB/cell

a b c (Å): 5.0076 5.0076 5.5358
angles (deg): 90.00 90.00 90.00
Sites, in units of the cell vectors:
Al  0.0000  0.0000  0.0000
Cr  0.5000  0.5000  0.5000
Sb  0.0000  0.5000  0.5000
Sb  0.5000  0.0000  0.5000
Te  0.5000  0.5000  0.0000

Preferred: model b; penalty for the next structure: 764 meV per atom.

Model a:
# ScAl2Cr

A geometry-optimized ScAl2Cr structure (PBE, the Alexandria database).

Calculated values
M_tot: 3.3 μB/cell

a b c (Å): 4.0568 4.0568 4.1495
angles (deg): 90.00 90.00 90.00
Sites, in units of the cell vectors:
Sc  0.0000  0.0000  0.0000
Al  0.0000  0.5000  0.5000
Al  0.5000  0.0000  0.5000
Cr  0.5000  0.5000  0.0000

Model b:
# ScAl2Cr

A geometry-optimized ScAl2Cr structure (PBE, the Alexandria database).

Calculated values
M_tot: 2.5 μB/cell

a b c (Å): 3.1409 3.1409 6.8619
angles (deg): 90.00 90.00 90.00
Sites, in units of the cell vectors:
Sc  0.0000  0.0000  0.0000
Al  0.0000  0.0000  0.5399
Al  0.5000  0.5000  0.2981
Cr  0.5000  0.5000  0.7395

Preferred: model a; penalty for the next structure: 103 meV per atom.